(1)
DFT (SCAN) results for a crystal of YCuHg3 relaxed with PBEsol.

Cell: 5.6786 5.6786 5.6786 Å, 90.00 90.00 90.00°
Element x y z (fractional)
1 Hg 0.0000 0.0000 0.5000
2 Hg 0.5000 0.0000 0.0000
3 Hg 0.0000 0.5000 0.0000
4 Cu 0.5000 0.5000 0.5000
5 Y 0.0000 0.0000 0.0000

Output
* size of the total moment: 0.00 μB/f.u.
* calculated total energy: -243.63 eV per cell
* energy of formation: 0.78 eV per atom



(2)
DFT (SCAN) results for a crystal of SiNi2Au relaxed with PBEsol.

Cell: 2.7644 2.7644 6.3816 Å, 90.00 90.00 90.00°
Element x y z (fractional)
1 Au 0.5000 0.5000 0.5000
2 Si 0.5000 0.5000 0.0000
3 Ni 0.0000 0.0000 0.7973
4 Ni 0.0000 0.0000 0.2027

Output
* size of the total moment: 0.00 μB/f.u.
* formation energy from raw total energies: -128 kJ/mol of formula units
* calculated total energy: -112.85 eV per cell



(3)
DFT (SCAN) results for a crystal of IrCS2N relaxed with PBEsol.

Cell: 3.6056 4.7225 4.7225 Å, 90.00 90.00 90.00°
Element x y z (fractional)
1 S 0.0000 0.0000 0.5000
2 Ir 0.0000 0.0000 0.0000
3 C 0.5000 0.5000 0.5000
4 N 0.5000 0.0000 0.0000
5 S 0.0000 0.5000 0.0000

Output
* size of the total moment: 0.09 μB/f.u.
* formation energy from raw total energies: 904 kJ/mol of formula units
* calculated total energy: -100.38 eV per cell



(4)
DFT (SCAN) results for a crystal of K3AlF6 relaxed with PBEsol.

Cell: 8.5778 10.3147 10.3147 Å, 80.04 65.43 65.43°
Element x y z (fractional)
1 F 0.2098 0.0000 0.0000
2 F 0.7175 0.0271 0.5378
3 Al 0.5921 0.2111 0.6046
4 F 0.0153 0.6044 0.7917
5 K 0.9096 0.8270 0.3538
6 K 0.2500 0.5000 0.5000
7 K 0.9508 0.8827 0.6757
8 F 0.7447 0.5378 0.9729
9 K 0.6265 0.3243 0.8827
10 F 0.6198 0.7917 0.3956
11 F 0.8763 0.0610 0.1864
12 K 0.5092 0.1173 0.3243
13 F 0.1237 0.9390 0.8136
14 Al 0.1968 0.3954 0.2111
15 F 0.4114 0.3956 0.2083
16 K 0.3735 0.6757 0.1173
17 F 0.5886 0.6044 0.7917
18 Al 0.4079 0.7889 0.3954
19 F 0.9847 0.3956 0.2083
20 Al 0.0000 0.0000 0.0000
21 K 0.7366 0.3538 0.1730
22 F 0.3802 0.2083 0.6044
23 F 0.5332 0.1478 0.7859
24 K 0.0904 0.1730 0.6462
25 K 0.2634 0.6462 0.8270
26 F 0.2825 0.9729 0.4622
27 F 0.4650 0.3933 0.6767
28 F 0.3191 0.2141 0.1478
29 F 0.0627 0.8136 0.0610
30 F 0.2553 0.4622 0.0271
31 F 0.8583 0.6767 0.6067
32 F 0.6809 0.7859 0.8522
33 K 0.7500 0.5000 0.5000
34 K 0.4908 0.8827 0.6757
35 F 0.6468 0.2802 0.4262
36 K 0.8335 0.6757 0.1173
37 K 0.1665 0.3243 0.8827
38 F 0.9270 0.4262 0.7198
39 F 0.1930 0.7917 0.3956
40 F 0.3532 0.7198 0.5738
41 K 0.5000 0.0000 0.0000
42 F 0.5350 0.6067 0.3233
43 F 0.9373 0.1864 0.9390
44 F 0.1417 0.3233 0.3933
45 F 0.8070 0.2083 0.6044
46 F 0.7902 0.0000 0.0000
47 F 0.4668 0.8522 0.2141
48 Al 0.8032 0.6046 0.7889
49 K 0.0492 0.1173 0.3243
50 F 0.0730 0.5738 0.2802

Output
* size of the total moment: 0.14 μB/f.u.
* formation energy from raw total energies: -3290 kJ/mol of formula units
* calculated total energy: -440.36 eV per cell